{
  "formula": "Cr2SiTcO6",
  "functional": "PBE with a Hubbard U",
  "state": "optimized geometry",
  "sg": "No. 1",
  "e_tot_ev_per_atom": -7.801,
  "lattice": [[4.9879, 0.0000, 0.0000], [2.4890, 4.3375, 0.0000], [2.4003, 1.3004, 4.6747]],
  "species": ["Cr", "Cr", "Si", "Tc", "O", "O", "O", "O", "O", "O"],
  "fractional_positions": [[0.0000, 0.0000, 0.0000], [0.4843, 0.4831, 0.5332], [0.6917, 0.6893, 0.9317], [0.2016, 0.1918, 0.4219], [0.0491, 0.7825, 0.7314], [0.3175, 0.5983, 0.1834], [0.4367, 0.0251, 0.7340], [0.6012, 0.9176, 0.1649], [0.7923, 0.4276, 0.7352], [0.8974, 0.3261, 0.1881]]
}